# Tb12ZnCo6 | the Alexandria database | PBE | relaxed
data_Tb12ZnCo6
_chemical_formula_sum 'Tb24 Zn2 Co12'
_cell_length_a 9.654
_cell_length_b 9.654
_cell_length_c 9.654
_cell_angle_alpha 90.00
_cell_angle_beta 90.00
_cell_angle_gamma 90.00
_space_group_name_H-M_alt 'I m -3'
_space_group_IT_number 204
_space_group_name_Hall '-I 2 2 3'
loop_
_atom_site_label
_atom_site_fract_x
_atom_site_fract_y
_atom_site_fract_z
Tb1 0.000 0.302 0.194
Zn1 0.000 0.000 0.000
Co1 0.000 0.114 0.500
# M_tot in μB/atom: 0.000
# DFT total energy in eV for the cell shown: -206.1
# Mass density in Mg/m³: 8.586

***

# TbZn7Co5 | the Alexandria database | PBE | relaxed
data_TbZn7Co5
_chemical_formula_sum 'Tb2 Zn14 Co10'
_cell_length_a 4.947
_cell_length_b 8.557
_cell_length_c 8.599
_cell_angle_alpha 90.00
_cell_angle_beta 90.00
_cell_angle_gamma 90.00
_space_group_name_H-M_alt 'I m m 2'
_space_group_IT_number 44
loop_
_space_group_symop_operation_xyz
'x,y,z'
'-x,-y,z'
'-x,y,z'
'x,-y,z'
'x+1/2,y+1/2,z+1/2'
'-x+1/2,-y+1/2,z+1/2'
'-x+1/2,y+1/2,z+1/2'
'x+1/2,-y+1/2,z+1/2'
loop_
_atom_site_label
_atom_site_fract_x
_atom_site_fract_y
_atom_site_fract_z
Tb1 0.000 0.000 0.000
Zn1 0.000 0.000 0.333
Zn2 0.000 0.000 0.654
Zn3 0.000 0.285 0.484
Zn4 0.000 0.346 0.977
Zn5 0.000 0.500 0.257
Co1 0.000 0.500 0.715
Co2 0.246 0.244 0.230
# M_tot in μB/atom: 0.402
# DFT total energy in eV for the cell shown: -102.0
# Mass density in Mg/m³: 8.315

***

# Tb11Zn9Co4 | the Alexandria database | PBE | relaxed
data_Tb11Zn9Co4
_chemical_formula_sum 'Tb22 Zn18 Co8'
_cell_length_a 13.666
_cell_length_b 20.541
_cell_length_c 3.607
_cell_angle_alpha 90.00
_cell_angle_beta 90.00
_cell_angle_gamma 90.00
_space_group_name_H-M_alt 'C m m m'
_space_group_IT_number 65
_space_group_name_Hall '-C 2 2'
loop_
_atom_site_label
_atom_site_fract_x
_atom_site_fract_y
_atom_site_fract_z
Tb1 0.000 0.000 0.000
Tb2 0.000 0.168 0.000
Tb3 0.000 0.371 0.000
Tb4 0.201 0.500 0.000
Tb5 0.248 0.168 0.000
Zn1 0.000 0.500 0.500
Zn2 0.103 0.266 0.500
Zn3 0.144 0.072 0.500
Co1 0.146 0.403 0.500
# M_tot in μB/atom: 0.000
# DFT total energy in eV for the cell shown: -196.1
# Mass density in Mg/m³: 8.439

***

# TbZn9Co2 | the Alexandria database | PBE | relaxed
data_TbZn9Co2
_chemical_formula_sum 'Tb4 Zn36 Co8'
_cell_length_a 10.329
_cell_length_b 10.329
_cell_length_c 6.762
_cell_angle_alpha 90.00
_cell_angle_beta 90.00
_cell_angle_gamma 90.00
_space_group_name_H-M_alt 'I 41/a m d'
_space_group_IT_number 141
loop_
_space_group_symop_operation_xyz
'x,y,z'
'-x,-y,-z'
'-y+1/4,x+3/4,z+1/4'
'y+1/4,-x+3/4,-z+1/4'
'-x+1/2,-y,z+1/2'
'x+1/2,y,-z+1/2'
'y+1/4,-x+1/4,z+3/4'
'-y+1/4,x+1/4,-z+3/4'
'x,-y,-z'
'-x,y,z'
'-y+1/4,-x+1/4,-z+3/4'
'y+1/4,x+1/4,z+3/4'
'-x+1/2,y,-z+1/2'
'x+1/2,-y,z+1/2'
'y+1/4,x+3/4,-z+1/4'
'-y+1/4,-x+3/4,z+1/4'
'x+1/2,y+1/2,z+1/2'
'-x+1/2,-y+1/2,-z+1/2'
'-y+3/4,x+1/4,z+3/4'
'y+3/4,-x+1/4,-z+3/4'
'-x,-y+1/2,z'
'x,y+1/2,-z'
'y+3/4,-x+3/4,z+1/4'
'-y+3/4,x+3/4,-z+1/4'
'x+1/2,-y+1/2,-z+1/2'
'-x+1/2,y+1/2,z+1/2'
'-y+3/4,-x+3/4,-z+1/4'
'y+3/4,x+3/4,z+1/4'
'-x,y+1/2,-z'
'x,-y+1/2,z'
'y+3/4,x+1/4,-z+3/4'
'-y+3/4,-x+1/4,z+3/4'
loop_
_atom_site_label
_atom_site_fract_x
_atom_site_fract_y
_atom_site_fract_z
Tb1 0.000 0.250 0.375
Zn1 0.000 0.250 0.875
Zn2 0.121 0.046 0.687
Co1 0.000 0.000 0.000
# M_tot in μB/atom: 0.008
# DFT total energy in eV for the cell shown: -129.1
# Excess energy over the best structure of this formula in the dataset in eV/atom: 0.000
# Mass density in Mg/m³: 7.968

***

# Tb3Zn3Co2 | the Alexandria database | PBE | relaxed
data_Tb3Zn3Co2
_chemical_formula_sum 'Tb12 Zn12 Co8'
_cell_length_a 7.288
_cell_length_b 15.544
_cell_length_c 5.473
_cell_angle_alpha 90.00
_cell_angle_beta 90.00
_cell_angle_gamma 90.00
_space_group_name_H-M_alt 'P n m a'
_space_group_IT_number 62
loop_
_space_group_symop_operation_xyz
'x,y,z'
'-x,-y,-z'
'-x+1/2,-y,z+1/2'
'x+1/2,y,-z+1/2'
'x+1/2,-y+1/2,-z+1/2'
'-x+1/2,y+1/2,z+1/2'
'-x,y+1/2,-z'
'x,-y+1/2,z'
loop_
_atom_site_label
_atom_site_fract_x
_atom_site_fract_y
_atom_site_fract_z
Tb1 0.036 0.107 0.113
Tb2 0.167 0.250 0.641
Zn1 0.168 0.034 0.600
Zn2 0.176 0.750 0.627
Co1 0.127 0.613 0.378
# M_tot in μB/atom: 0.000
# DFT total energy in eV for the cell shown: -136.7
# Mass density in Mg/m³: 8.472

***

# TbZn8Co4 | the Alexandria database | PBE | relaxed
data_TbZn8Co4
_chemical_formula_sum 'Tb2 Zn16 Co8'
_cell_length_a 8.642
_cell_length_b 8.642
_cell_length_c 4.984
_cell_angle_alpha 90.00
_cell_angle_beta 90.00
_cell_angle_gamma 90.00
_space_group_name_H-M_alt 'I 4/m m m'
_space_group_IT_number 139
_space_group_name_Hall '-I 4 2'
loop_
_atom_site_label
_atom_site_fract_x
_atom_site_fract_y
_atom_site_fract_z
Tb1 0.000 0.000 0.000
Zn1 0.000 0.225 0.500
Zn2 0.000 0.340 0.000
Co1 0.250 0.250 0.250
# M_tot in μB/atom: 0.315
# DFT total energy in eV for the cell shown: -90.8
# Mass density in Mg/m³: 8.189

***

# Tb5Zn4Co | the Alexandria database | PBE | relaxed
data_Tb5Zn4Co
_chemical_formula_sum 'Tb5 Zn4 Co1'
_cell_length_a 3.522
_cell_length_b 3.522
_cell_length_c 17.890
_cell_angle_alpha 90.00
_cell_angle_beta 90.00
_cell_angle_gamma 90.00
_space_group_name_H-M_alt 'P 4/m m m'
_space_group_IT_number 123
_space_group_name_Hall '-P 4 2'
loop_
_atom_site_label
_atom_site_fract_x
_atom_site_fract_y
_atom_site_fract_z
Tb1 0.000 0.000 0.000
Tb2 0.000 0.000 0.204
Tb3 0.000 0.000 0.410
Zn1 0.500 0.500 0.103
Zn2 0.500 0.500 0.305
Co1 0.500 0.500 0.500
# M_tot in μB/atom: 0.042
# DFT total energy in eV for the cell shown: -38.3
# Mass density in Mg/m³: 8.346

***

# Tb8ZnCo2 | the Alexandria database | PBE | relaxed
data_Tb8ZnCo2
_chemical_formula_sum 'Tb16 Zn2 Co4'
_cell_length_a 8.494
_cell_length_b 13.023
_cell_length_c 5.404
_cell_angle_alpha 90.00
_cell_angle_beta 103.98
_cell_angle_gamma 90.00
_space_group_name_H-M_alt 'C 1 2/m 1'
_space_group_IT_number 12
loop_
_space_group_symop_operation_xyz
'x,y,z'
'-x,-y,-z'
'-x,y,-z'
'x,-y,z'
'x+1/2,y+1/2,z'
'-x+1/2,-y+1/2,-z'
'-x+1/2,y+1/2,-z'
'x+1/2,-y+1/2,z'
loop_
_atom_site_label
_atom_site_fract_x
_atom_site_fract_y
_atom_site_fract_z
Tb1 0.000 0.244 0.000
Tb2 0.118 0.500 0.806
Tb3 0.201 0.130 0.576
Zn1 0.000 0.000 0.000
Co1 0.000 0.304 0.500
# M_tot in μB/atom: 0.000
# DFT total energy in eV for the cell shown: -106.0
# Excess energy over the best structure of this formula in the dataset in eV/atom: 0.073
# Mass density in Mg/m³: 8.328

***

# Tb6Zn5Co | the Alexandria database | PBE | relaxed
data_Tb6Zn5Co
_chemical_formula_sum 'Tb12 Zn10 Co2'
_cell_length_a 5.015
_cell_length_b 14.985
_cell_length_c 7.089
_cell_angle_alpha 90.00
_cell_angle_beta 90.00
_cell_angle_gamma 90.00
_space_group_name_H-M_alt 'C m m m'
_space_group_IT_number 65
_space_group_name_Hall '-C 2 2'
loop_
_atom_site_label
_atom_site_fract_x
_atom_site_fract_y
_atom_site_fract_z
Tb1 0.000 0.000 0.238
Tb2 0.000 0.340 0.244
Zn1 0.000 0.170 0.500
Zn2 0.000 0.174 0.000
Zn3 0.000 0.500 0.500
Co1 0.000 0.500 0.000
# M_tot in μB/atom: 0.000
# DFT total energy in eV for the cell shown: -90.0
# Mass density in Mg/m³: 8.351

***

# TbZnCo | the Alexandria database | PBE | relaxed
data_TbZnCo
_chemical_formula_sum 'Tb4 Zn4 Co4'
_cell_length_a 11.663
_cell_length_b 3.955
_cell_length_c 4.981
_cell_angle_alpha 90.00
_cell_angle_beta 103.97
_cell_angle_gamma 90.00
_space_group_name_H-M_alt 'C 1 2/m 1'
_space_group_IT_number 12
loop_
_space_group_symop_operation_xyz
'x,y,z'
'-x,-y,-z'
'-x,y,-z'
'x,-y,z'
'x+1/2,y+1/2,z'
'-x+1/2,-y+1/2,-z'
'-x+1/2,y+1/2,-z'
'x+1/2,-y+1/2,z'
loop_
_atom_site_label
_atom_site_fract_x
_atom_site_fract_y
_atom_site_fract_z
Tb1 0.124 0.000 0.312
Zn1 0.087 0.500 0.767
Co1 0.223 0.000 0.876
# M_tot in μB/atom: 0.000
# DFT total energy in eV for the cell shown: -55.1
# Mass density in Mg/m³: 8.439

***

# TbZnCo | the Alexandria database | PBE | relaxed
data_TbZnCo
_chemical_formula_sum 'Tb2 Zn2 Co2'
_cell_length_a 3.333
_cell_length_b 3.333
_cell_length_c 9.639
_cell_angle_alpha 90.00
_cell_angle_beta 90.00
_cell_angle_gamma 90.00
_space_group_name_H-M_alt 'I 4 m m'
_space_group_IT_number 107
_space_group_name_Hall 'I 4 -2'
loop_
_atom_site_label
_atom_site_fract_x
_atom_site_fract_y
_atom_site_fract_z
Tb1 0.000 0.000 0.000
Zn1 0.000 0.000 0.706
Co1 0.000 0.000 0.318
# M_tot in μB/atom: 0.247
# DFT total energy in eV for the cell shown: -26.7
# Mass density in Mg/m³: 8.787

***

Density of states at the Fermi level in states/eV per cell, matching the order above: 30.33 19.46 38.27 35.86 20.86 18.05 9.11 25.87 15.39 11.22 4.56
Volume in Å³/atom, matching the order above: 23.7 14.0 21.1 15.0 19.4 14.3 22.2 26.4 22.2 18.6 17.8